Arrangement i

# TmTlCoTe3 (PBE-GGA, relaxed)
# Size of the total moment ... 0.436 μB/atom
# Calculated density ... 7.556 g/cm3
data_TmTlCoTe3
_chemical_formula_sum 'Tm4 Tl4 Co4 Te12'
_symmetry_space_group_name_H-M 'P n m a'
_symmetry_Int_Tables_number 62
_cell_length_a 10.6051
_cell_length_b 4.2874
_cell_length_c 15.7575
_cell_angle_alpha 90.00
_cell_angle_beta 90.00
_cell_angle_gamma 90.00
loop_
_symmetry_equiv_pos_as_xyz
'x,y,z'
'-x,-y,-z'
'-x+1/2,-y,z+1/2'
'x+1/2,y,-z+1/2'
'x+1/2,-y+1/2,-z+1/2'
'-x+1/2,y+1/2,z+1/2'
'-x,y+1/2,-z'
'x,-y+1/2,z'
loop_
_atom_site_label
_atom_site_type_symbol
_atom_site_fract_x
_atom_site_fract_y
_atom_site_fract_z
_atom_site_occupancy
Tm1 Tm 0.1592 0.2500 0.0495 1
Tl1 Tl 0.0590 0.7500 0.3278 1
Co1 Co 0.1518 0.7500 0.8773 1
Te1 Te 0.0208 0.2500 0.8805 1
Te2 Te 0.1677 0.2500 0.4871 1
Te3 Te 0.2200 0.7500 0.7240 1


Arrangement ii

# TmTlCoTe3 (PBE-GGA, relaxed)
# Size of the total moment ... 0.396 μB/atom
# Calculated density ... 7.332 g/cm3
data_TmTlCoTe3
_chemical_formula_sum 'Tm4 Tl4 Co4 Te12'
_symmetry_space_group_name_H-M 'C m c m'
_symmetry_Int_Tables_number 63
_symmetry_space_group_name_Hall '-C 2c 2'
_cell_length_a 4.1480
_cell_length_b 16.0527
_cell_length_c 11.0887
_cell_angle_alpha 90.00
_cell_angle_beta 90.00
_cell_angle_gamma 90.00
loop_
_atom_site_label
_atom_site_type_symbol
_atom_site_fract_x
_atom_site_fract_y
_atom_site_fract_z
_atom_site_occupancy
Tm1 Tm 0.0000 0.0000 0.0000 1
Tl1 Tl 0.0000 0.2440 0.2500 1
Co1 Co 0.0000 0.4750 0.7500 1
Te1 Te 0.0000 0.0737 0.7500 1
Te2 Te 0.0000 0.3724 0.5707 1


Arrangement iii

# TmTlCoTe3 (PBE-GGA, relaxed)
# Size of the total moment ... 0.340 μB/atom
# Calculated density ... 7.809 g/cm3
data_TmTlCoTe3
_chemical_formula_sum 'Tm4 Tl4 Co4 Te12'
_symmetry_space_group_name_H-M 'P n m a'
_symmetry_Int_Tables_number 62
_cell_length_a 12.4275
_cell_length_b 4.3051
_cell_length_c 12.9574
_cell_angle_alpha 90.00
_cell_angle_beta 90.00
_cell_angle_gamma 90.00
loop_
_symmetry_equiv_pos_as_xyz
'x,y,z'
'-x,-y,-z'
'-x+1/2,-y,z+1/2'
'x+1/2,y,-z+1/2'
'x+1/2,-y+1/2,-z+1/2'
'-x+1/2,y+1/2,z+1/2'
'-x,y+1/2,-z'
'x,-y+1/2,z'
loop_
_atom_site_label
_atom_site_type_symbol
_atom_site_fract_x
_atom_site_fract_y
_atom_site_fract_z
_atom_site_occupancy
Tm1 Tm 0.0198 0.2500 0.1811 1
Tl1 Tl 0.1822 0.2500 0.4947 1
Co1 Co 0.2367 0.7500 0.3111 1
Te1 Te 0.0334 0.7500 0.3460 1
Te2 Te 0.1047 0.2500 0.9416 1
Te3 Te 0.2286 0.7500 0.7123 1


Arrangement iv

# TmTlCoTe3 (PBE-GGA, relaxed)
# Size of the total moment ... 0.221 μB/atom
# Calculated density ... 7.647 g/cm3
data_TmTlCoTe3
_chemical_formula_sum 'Tm4 Tl4 Co4 Te12'
_symmetry_space_group_name_H-M 'C 1 2/m 1'
_symmetry_Int_Tables_number 12
_cell_length_a 17.5153
_cell_length_b 4.3630
_cell_length_c 9.5071
_cell_angle_alpha 90.00
_cell_angle_beta 103.00
_cell_angle_gamma 90.00
loop_
_symmetry_equiv_pos_as_xyz
'x,y,z'
'-x,-y,-z'
'-x,y,-z'
'x,-y,z'
'x+1/2,y+1/2,z'
'-x+1/2,-y+1/2,-z'
'-x+1/2,y+1/2,-z'
'x+1/2,-y+1/2,z'
loop_
_atom_site_label
_atom_site_type_symbol
_atom_site_fract_x
_atom_site_fract_y
_atom_site_fract_z
_atom_site_occupancy
Tm1 Tm 0.1720 0.0000 0.0786 1
Tl1 Tl 0.1434 0.0000 0.5588 1
Co1 Co 0.0012 0.5000 0.8454 1
Te1 Te 0.0000 0.0000 0.0000 1
Te2 Te 0.0000 0.5000 0.5000 1
Te3 Te 0.1462 0.5000 0.2820 1
Te4 Te 0.1523 0.5000 0.8469 1


Which structure is the least stable? The one labeled arrangement iv.